{
  "formula": "KNdF4",
  "functional": "PBE",
  "state": "optimized geometry",
  "spacegroup": "No. 123",
  "n_ef_per_ev_fu": 0.0,
  "total_magnetization_mub_per_fu": 0.0,
  "e_form_raw_ev_per_fu": -22.16,
  "lattice_angstrom": [[-2.373, -1.375, -2.954], [3.216, -0.401, -2.397], [0.815, -5.859, 2.073]],
  "species": ["F", "Nd", "F", "F", "K", "F"],
  "frac_coords": [[0.500, 0.000, 0.290], [0.500, 0.500, 0.500], [0.500, 0.000, 0.710], [0.000, 0.500, 0.710], [0.000, 0.000, 0.000], [0.000, 0.500, 0.290]]
}